LiPrC: optimized geometry, PBE.

Structure (POSCAR):
```
LiPrC
1.0
3.950 -1.838 0.000
3.950 1.838 0.000
-3.032 0.000 9.596
Li Pr C
2 2 2
direct
0.000 0.000 0.000 Li
0.647 0.647 0.855 Li
0.252 0.252 0.587 Pr
0.841 0.841 0.289 Pr
0.486 0.486 0.473 C
0.607 0.607 0.403 C
```

Summary:
The volume comes out at 23.221 Å³/atom. As for the energy of formation: -0.0325 eV per atom. Its space group is Cm (8). Its relative energy among the computed polymorphs is 0.0151 eV per atom. As for the magnetization: 0.00 μB/cell. For the calculated total energy, the calculation gives -32.0 eV for the cell shown. The value obtained for the calculated density is 3811 kg/m3. The value obtained for the density of states at the Fermi level is 1.53 states/eV/f.u.

La2ZnCuPt6: optimized geometry, PBE.

Structure (POSCAR):
```
La2ZnCuPt6
1.0
0.000 4.712 4.712
4.712 0.000 4.712
4.712 4.712 0.000
La Zn Cu Pt
2 1 1 6
direct
0.250 0.250 0.250 La
0.750 0.750 0.750 La
0.000 0.000 0.000 Zn
0.500 0.500 0.500 Cu
0.250 0.250 0.750 Pt
0.250 0.750 0.250 Pt
0.250 0.750 0.750 Pt
0.750 0.250 0.250 Pt
0.750 0.250 0.750 Pt
0.750 0.750 0.250 Pt
```

Summary:
The volume comes out at 20.927 Å³/atom. As for the energy of formation: -0.3196 eV per atom. Its space group is Fm-3m (225). As for the magnetization: 0.00 μB/cell. For the calculated total energy, the calculation gives -54.7 eV for the cell shown. The value obtained for the calculated density is 12516 kg/m3. The value obtained for the density of states at the Fermi level is 6.63 states/eV/f.u.

Sm2ZnSn3Pd4: optimized geometry, PBE.

Structure (POSCAR):
```
Sm2ZnSn3Pd4
1.0
4.469 0.000 0.000
0.000 4.469 0.000
0.000 0.000 10.806
Sm Zn Sn Pd
2 1 3 4
direct
0.000 0.500 0.246 Sm
0.500 0.000 0.754 Sm
0.500 0.500 0.000 Zn
0.000 0.000 0.000 Sn
0.000 0.500 0.634 Sn
0.500 0.000 0.366 Sn
0.000 0.000 0.500 Pd
0.000 0.500 0.872 Pd
0.500 0.000 0.128 Pd
0.500 0.500 0.500 Pd
```

Summary:
The volume comes out at 21.579 Å³/atom. As for the energy of formation: -0.7180 eV per atom. Its space group is P-4m2 (115). As for the magnetization: 0.00 μB/cell. For the calculated total energy, the calculation gives -50.7 eV for the cell shown. The value obtained for the calculated density is 8834 kg/m3. The value obtained for the density of states at the Fermi level is 6.63 states/eV/f.u.